A relaxed structure of PaV2SbO8, computed with PBE with a Hubbard U.

SG: No. 12
Total magnetic moment, Bohr magnetons per cell: 4.000
Final energy, eV/atom: -7.978
N(E_F), states/eV/atom: 0.000

```
PaV2SbO8
1.0
-1.9480 -3.2247 2.8341
4.3005 -1.2654 1.4602
-0.3101 4.4679 4.9603
Pa V Sb O
1 2 1 8
Cartesian
-0.1551 2.2339 2.4801
0.9374 1.1674 5.9264
1.1050 -1.1896 3.3282
0.0000 0.0000 0.0000
2.9863 -0.6302 2.8725
1.6439 -3.1267 3.0099
-0.7750 -1.8111 3.7007
-0.9438 0.6080 6.3821
0.3985 3.1045 6.2447
2.8174 1.7889 5.5539
1.4601 -0.8358 5.4459
0.5823 0.8136 3.8086
```